Computed, not measured: an optimized crystal structure of BaRhSe at the PBE level of DFT.

## Properties
The calculation puts the energy above the most stable polymorph in this dataset at 473 meV per atom.

Unit cell a=6.100 b=6.096 c=3.693 alpha=72.43 beta=72.32 gamma=35.25
Fractional positions:
Ba  0.002  0.002  0.998
Rh  0.277  0.277  0.723
Se  0.721  0.721  0.279

---

Computed, not measured: an optimized crystal structure of Ba8Rh2Se at the PBE level of DFT.

Unit cell a=7.772 b=9.271 c=9.272 alpha=120.01 beta=90.02 gamma=89.98
Fractional positions:
Ba  0.278  0.667  0.333
Ba  0.722  0.333  0.667
Ba  0.755  0.832  0.168
Ba  0.245  0.168  0.336
Ba  0.245  0.664  0.832
Ba  0.245  0.168  0.832
Ba  0.755  0.832  0.664
Ba  0.755  0.336  0.168
Rh  0.090  0.333  0.667
Rh  0.910  0.667  0.333
Se  0.000  0.000  0.000

---

Computed, not measured: an optimized crystal structure of Ba4RhSe at the PBE level of DFT.

## Properties
The calculation puts the energy above the most stable polymorph in this dataset at 0 meV per atom.

Unit cell a=4.612 b=8.093 c=8.241 alpha=100.44 beta=89.98 gamma=106.62
Fractional positions:
Ba  0.887  0.776  0.653
Ba  0.113  0.224  0.347
Ba  0.387  0.774  0.121
Ba  0.613  0.226  0.879
Rh  0.000  0.000  0.000
Se  0.500  0.000  0.500

---

no.,calculated density (g/cm³),energy (eV per atom),uncorrected formation energy (eV per atom)
1,7.1,-4.7363,-0.48
2,4.0,-3.3426,-0.29
3,4.2,-3.8186,-0.73